1.
VASP calculation (GGA-PBE) on a relaxed structure of ZnCo4S8.

Unit cell a=7.004 b=7.004 c=7.004 alpha=56.35 beta=56.35 gamma=56.35
Element x y z (fractional)
S 0.728 0.238 0.238
S 0.265 0.265 0.265
S 0.735 0.735 0.735
Co 0.500 0.500 0.000
S 0.272 0.762 0.762
S 0.238 0.728 0.238
Co 0.000 0.500 0.500
S 0.238 0.238 0.728
S 0.762 0.762 0.272
S 0.762 0.272 0.762
Co 0.000 0.000 0.000
Zn 0.500 0.500 0.500
Co 0.500 0.000 0.500

Computed properties:
Energy above the lowest structure with this stoichiometry, meV per atom: 80
Magnetic moment, μB per formula unit: 0.0
DOS at the Fermi energy, states/eV/cell: 14.33
Formation energy (no corrections), eV/f.u.: -3.95

---

2.
VASP calculation (GGA-PBE) on a relaxed structure of Sm3Ag2.

Unit cell a=5.160 b=8.316 c=10.215 alpha=92.79 beta=90.00 gamma=108.07
Element x y z (fractional)
Sm 0.253 0.506 0.267
Sm 0.747 0.494 0.733
Sm 0.513 0.025 0.331
Sm 0.487 0.975 0.669
Ag 0.698 0.397 0.444
Sm 0.500 0.000 0.000
Sm 0.109 0.218 0.562
Ag 0.332 0.663 0.855
Ag 0.951 0.902 0.814
Ag 0.049 0.098 0.186
Ag 0.302 0.603 0.556
Ag 0.668 0.337 0.145
Sm 0.151 0.301 0.934
Sm 0.891 0.782 0.438
Sm 0.849 0.699 0.066

Computed properties:
Energy above the lowest structure with this stoichiometry, meV per atom: 87
Magnetic moment, μB per formula unit: 0.0
DOS at the Fermi energy, states/eV/cell: 16.23
E_form, meV/atom: -129

---

3.
VASP calculation (GGA-PBE) on a relaxed structure of MgInGaSe4.

Unit cell a=5.972 b=5.972 c=6.980 alpha=115.33 beta=115.33 gamma=90.00
Element x y z (fractional)
Se 0.389 0.893 0.280
Se 0.107 0.110 0.720
Se 0.890 0.387 0.280
Se 0.613 0.611 0.720
Mg 0.000 0.000 0.000
In 0.500 0.500 0.000
Ga 0.250 0.750 0.500

Computed properties:
Magnetic moment, μB per formula unit: 0.0
DOS at the Fermi energy, states/eV/cell: 0.00
Formation energy (no corrections), eV/f.u.: -5.41